A geometry-optimized B3Pd16 structure. Source: the Alexandria database, functional PBE.

Values from the calculation:
electronic total energy	-0.2067	hartree per atom
calculated formation energy	-0.199	eV per atom
calculated volume	14.312	Å³ per atom
space group	C2/c

Cell lengths 9.147, 9.147, 9.101 Å; angles 66.27, 66.27, 53.11 degrees
Positions (direct):
B (0.625, 0.375, 0.250)
B (0.375, 0.625, 0.750)
B (0.933, 0.699, 0.500)
B (0.699, 0.933, 0.000)
B (0.067, 0.301, 0.500)
B (0.301, 0.067, 0.000)
Pd (0.370, 0.630, 0.250)
Pd (0.630, 0.370, 0.750)
Pd (0.879, 0.121, 0.250)
Pd (0.121, 0.879, 0.750)
Pd (0.066, 0.817, 0.500)
Pd (0.817, 0.066, 0.000)
Pd (0.934, 0.183, 0.500)
Pd (0.183, 0.934, 0.000)
Pd (0.561, 0.312, 0.507)
Pd (0.312, 0.561, 0.007)
Pd (0.439, 0.688, 0.493)
Pd (0.688, 0.439, 0.993)
Pd (0.001, 0.752, 0.245)
Pd (0.752, 0.001, 0.745)
Pd (0.999, 0.248, 0.755)
Pd (0.248, 0.999, 0.255)
Pd (0.498, 0.247, 0.250)
Pd (0.247, 0.498, 0.750)
Pd (0.502, 0.753, 0.750)
Pd (0.753, 0.502, 0.250)
Pd (0.192, 0.436, 0.499)
Pd (0.436, 0.192, 0.999)
Pd (0.808, 0.564, 0.501)
Pd (0.564, 0.808, 0.001)
Pd (0.679, 0.947, 0.500)
Pd (0.947, 0.679, 0.000)
Pd (0.321, 0.053, 0.500)
Pd (0.053, 0.321, 0.000)
Pd (0.873, 0.625, 0.755)
Pd (0.625, 0.873, 0.255)
Pd (0.127, 0.375, 0.245)
Pd (0.375, 0.127, 0.745)